# Er2Tm5Th2

Er2Tm5Th2 after structural relaxation (PBE, Alexandria).

Cell and atoms, written as POSCAR:
```
Er2Tm5Th2
1.0
-2.0917 -2.6201 11.2736
-1.0470 -6.2555 -1.6481
8.7131 2.9821 -3.8256
Er Tm Th
4 10 4
direct
0.1266 0.6761 0.2511
0.8734 0.4250 0.7489
0.6245 0.1761 0.2511
0.3755 0.9250 0.7489
0.2017 0.6566 0.8932
0.7983 0.7634 0.1068
0.1915 0.1566 0.8932
0.8085 0.2634 0.1068
0.3698 0.0484 0.2846
0.6302 0.7638 0.7154
0.4148 0.5484 0.2846
0.5852 0.2638 0.7154
0.0171 0.6518 0.5000
0.9829 0.1518 0.5000
0.0000 0.0168 0.0000
0.5000 0.5168 0.0000
0.2508 0.3341 0.5000
0.7492 0.8341 0.5000
```

* total magnetization: 0.0 μB/f.u.
* space-group type: Ima2, No. 46
* electronic total energy: -4.901 eV/atom
* energy above the lowest structure with this stoichiometry: 225 meV/atom